Record 1
Computed, not measured: AcNp2NbO8 after structural relaxation at the PBE-GGA level of DFT.

```
data_AcNp2NbO8
_chemical_formula_sum 'Ac2 Np4 Nb2 O16'
_space_group_name_H-M_alt 'C m m m'
_space_group_IT_number 65
_space_group_name_Hall '-C 2 2'
_cell_length_a 7.196
_cell_length_b 7.342
_cell_length_c 7.073
_cell_angle_alpha 90.00
_cell_angle_beta 90.00
_cell_angle_gamma 90.00
loop_
_atom_site_label
_atom_site_type_symbol
_atom_site_fract_x
_atom_site_fract_y
_atom_site_fract_z
Ac1 Ac 0.000 0.000 0.000
Np1 Np 0.000 0.500 0.261
Nb1 Nb 0.000 0.000 0.500
O1 O 0.000 0.288 0.500
O2 O 0.000 0.330 0.000
O3 O 0.193 0.000 0.292
```

## Properties
Calculated total energy: -9.567 eV per atom
ΔE_f (raw): -2.924 eV/atom
DOS(E_F): 1.14 states/eV/atom
Spin magnetization: 12.0 μB/cell

Record 2
Computed, not measured: AcNpNb2O8 after structural relaxation at the PBE-GGA level of DFT.

```
data_AcNpNb2O8
_chemical_formula_sum 'Ac3 Np3 Nb6 O24'
_space_group_name_H-M_alt 'R -3'
_space_group_IT_number 148
_space_group_name_Hall '-R 3'
_cell_length_a 5.7991
_cell_length_b 5.7991
_cell_length_c 17.2279
_cell_angle_alpha 90.00
_cell_angle_beta 90.00
_cell_angle_gamma 120.00
loop_
_atom_site_label
_atom_site_type_symbol
_atom_site_fract_x
_atom_site_fract_y
_atom_site_fract_z
Ac1 Ac 0.0000 0.0000 0.0000
Np1 Np 0.0000 0.0000 0.5000
Nb1 Nb 0.0000 0.0000 0.2071
O1 O 0.0000 0.0000 0.3137
O2 O 0.0029 0.7225 0.1158
```

## Properties
Calculated total energy: -9.116 eV per atom
ΔE_f (raw): -2.711 eV/atom
DOS(E_F): 1.10 states/eV/atom
Spin magnetization: 12.0 μB/cell

Record 3
Computed, not measured: AcNb2O6 after structural relaxation at the PBE-GGA level of DFT.

```
data_AcNb2O6
_chemical_formula_sum 'Ac1 Nb2 O6'
_space_group_name_H-M_alt 'P 4/m m m'
_space_group_IT_number 123
_space_group_name_Hall '-P 4 2'
_cell_length_a 4.041
_cell_length_b 4.041
_cell_length_c 8.138
_cell_angle_alpha 90.00
_cell_angle_beta 90.00
_cell_angle_gamma 90.00
loop_
_atom_site_label
_atom_site_type_symbol
_atom_site_fract_x
_atom_site_fract_y
_atom_site_fract_z
Ac1 Ac 0.000 0.000 0.000
Nb1 Nb 0.500 0.500 0.263
O1 O 0.000 0.500 0.226
O2 O 0.500 0.500 0.000
O3 O 0.500 0.500 0.500
```

## Properties
Excess energy over the best structure of this formula in the dataset: 0.00 eV/f.u.
Calculated total energy: -8.855 eV per atom
ΔE_f (raw): -2.855 eV/atom
DOS(E_F): 0.34 states/eV/atom
Spin magnetization: 0.0 μB/cell

Record 4
Computed, not measured: AcNb6O12 after structural relaxation at the PBE-GGA level of DFT.

```
data_AcNb6O12
_chemical_formula_sum 'Ac3 Nb18 O36'
_space_group_name_H-M_alt 'R -3 m'
_space_group_IT_number 166
_space_group_name_Hall '-R 3 2"'
_cell_length_a 10.3184
_cell_length_b 10.3184
_cell_length_c 7.3337
_cell_angle_alpha 90.00
_cell_angle_beta 90.00
_cell_angle_gamma 120.00
loop_
_atom_site_label
_atom_site_type_symbol
_atom_site_fract_x
_atom_site_fract_y
_atom_site_fract_z
Ac1 Ac 0.0000 0.0000 0.0000
Nb1 Nb 0.0719 0.5360 0.3036
O1 O 0.0000 0.3642 0.5000
O2 O 0.0898 0.1795 0.3603
```

## Properties
Calculated total energy: -8.579 eV per atom
ΔE_f (raw): -2.052 eV/atom
DOS(E_F): 0.55 states/eV/atom
Spin magnetization: 0.0 μB/cell

Record 5
Computed, not measured: Ac2Nb2O7 after structural relaxation at the PBE-GGA level of DFT.

```
data_Ac2Nb2O7
_chemical_formula_sum 'Ac4 Nb4 O14'
_space_group_name_H-M_alt 'C 1 2/m 1'
_space_group_IT_number 12
_space_group_name_Hall '-C 2y'
_cell_length_a 12.245
_cell_length_b 6.848
_cell_length_c 4.307
_cell_angle_alpha 90.00
_cell_angle_beta 106.07
_cell_angle_gamma 90.00
loop_
_atom_site_label
_atom_site_type_symbol
_atom_site_fract_x
_atom_site_fract_y
_atom_site_fract_z
Ac1 Ac 0.202 0.000 0.213
Nb1 Nb 0.000 0.307 0.500
O1 O 0.000 0.000 0.000
O2 O 0.072 0.500 0.260
O3 O 0.155 0.214 0.708
```

## Properties
Calculated total energy: -8.424 eV per atom
ΔE_f (raw): -2.691 eV/atom
Spin magnetization: 0.0 μB/cell

Record 6
Computed, not measured: AcNb2O6 after structural relaxation at the PBE-GGA level of DFT.

```
data_AcNb2O6
_chemical_formula_sum 'Ac2 Nb4 O12'
_space_group_name_H-M_alt 'C 1 2/m 1'
_space_group_IT_number 12
_space_group_name_Hall '-C 2y'
_cell_length_a 9.795
_cell_length_b 4.142
_cell_length_c 7.469
_cell_angle_alpha 90.00
_cell_angle_beta 115.10
_cell_angle_gamma 90.00
loop_
_atom_site_label
_atom_site_type_symbol
_atom_site_fract_x
_atom_site_fract_y
_atom_site_fract_z
Ac1 Ac 0.000 0.000 0.000
Nb1 Nb 0.183 0.000 0.593
O1 O 0.012 0.000 0.676
O2 O 0.160 0.500 0.143
O3 O 0.195 0.500 0.593
```

## Properties
Excess energy over the best structure of this formula in the dataset: 0.25 eV/f.u.
Calculated total energy: -8.828 eV per atom
ΔE_f (raw): -2.828 eV/atom
DOS(E_F): 0.06 states/eV/atom
Spin magnetization: 0.0 μB/cell

Record 7
Computed, not measured: Ac2Nb3O10 after structural relaxation at the PBE-GGA level of DFT.

```
data_Ac2Nb3O10
_chemical_formula_sum 'Ac8 Nb12 O40'
_space_group_name_H-M_alt 'C 1 2/m 1'
_space_group_IT_number 12
_space_group_name_Hall '-C 2y'
_cell_length_a 18.817
_cell_length_b 5.941
_cell_length_c 7.913
_cell_angle_alpha 90.00
_cell_angle_beta 112.45
_cell_angle_gamma 90.00
loop_
_atom_site_label
_atom_site_type_symbol
_atom_site_fract_x
_atom_site_fract_y
_atom_site_fract_z
Ac1 Ac 0.104 0.000 0.218
Ac2 Ac 0.208 0.000 0.827
Nb1 Nb 0.000 0.233 0.500
Nb2 Nb 0.081 0.500 0.966
Nb3 Nb 0.183 0.500 0.527
O1 O 0.000 0.270 0.000
O2 O 0.017 0.000 0.702
O3 O 0.026 0.500 0.698
O4 O 0.111 0.238 0.534
O5 O 0.127 0.500 0.250
O6 O 0.151 0.256 0.990
O7 O 0.230 0.500 0.786
O8 O 0.250 0.250 0.500
```

## Properties
Calculated total energy: -8.748 eV per atom
ΔE_f (raw): -2.881 eV/atom
DOS(E_F): 0.05 states/eV/atom
Spin magnetization: 0.0 μB/cell

Record 8
Computed, not measured: Ac5Nb2O12 after structural relaxation at the PBE-GGA level of DFT.

```
data_Ac5Nb2O12
_chemical_formula_sum 'Ac10 Nb4 O24'
_space_group_name_H-M_alt 'C 1 2/m 1'
_space_group_IT_number 12
_space_group_name_Hall '-C 2y'
_cell_length_a 13.385
_cell_length_b 6.299
_cell_length_c 8.162
_cell_angle_alpha 90.00
_cell_angle_beta 107.45
_cell_angle_gamma 90.00
loop_
_atom_site_label
_atom_site_type_symbol
_atom_site_fract_x
_atom_site_fract_y
_atom_site_fract_z
Ac1 Ac 0.000 0.000 0.000
Ac2 Ac 0.189 0.500 0.857
Ac3 Ac 0.191 0.500 0.332
Nb1 Nb 0.000 0.231 0.500
O1 O 0.001 0.500 0.334
O2 O 0.002 0.000 0.682
O3 O 0.155 0.260 0.576
O4 O 0.156 0.250 0.080
```

## Properties
Calculated total energy: -8.451 eV per atom
ΔE_f (raw): -3.178 eV/atom
DOS(E_F): 0.01 states/eV/atom
Spin magnetization: 2.0 μB/cell